## ErScAlTl (PBE)

Data for crystalline ErScAlTl at its relaxed geometry.

Properties
- ΔE to the lowest computed polymorph (meV per atom) = 0.0
- DFT formation energy (eV per atom) = -0.331

a b c (Å): 3.275 3.275 8.610
angles (deg): 90.00 90.00 90.00
Space group P4mm (No. 99)
Asymmetric unit:
Er (0.000, 0.000, 0.000) (multiplicity 1)
Sc (0.000, 0.000, 0.540) (multiplicity 1)
Al (0.500, 0.500, 0.759) (multiplicity 1)
Tl (0.500, 0.500, 0.280) (multiplicity 1)